(1)
{"formula": "YCdRu2", "functional": "PBE", "state": "relaxed", "volume_a3_per_fu": 73.0, "dos_ef_per_ev_cell": 4.4, "e_form_ev_per_atom": 0.246, "dft_energy_ev_per_atom": -6.24, "lattice_angstrom": [[-0.542, -0.190, -5.398], [5.013, 0.053, 2.108], [0.879, -2.830, -0.222]], "species": ["Cd", "Ru", "Ru", "Y"], "frac_coords": [[0.500, 0.500, 0.000], [0.000, 0.000, 0.000], [0.500, 0.000, 0.500], [0.000, 0.500, 0.500]]}



(2)
{"formula": "Li2Ga2Ag2Pb", "functional": "PBE", "state": "relaxed", "volume_a3_per_fu": 131.0, "dos_ef_per_ev_cell": 3.1, "e_form_ev_per_atom": -0.134, "dft_energy_ev_per_atom": -2.89, "lattice_angstrom": [[-1.979, 2.724, 2.602], [-3.144, -2.333, -3.429], [-0.596, -4.693, 4.458]], "species": ["Li", "Li", "Ga", "Ga", "Ag", "Ag", "Pb"], "frac_coords": [[0.706, 0.412, 0.154], [0.294, 0.588, 0.846], [0.140, 0.281, 0.439], [0.860, 0.719, 0.561], [0.590, 0.180, 0.696], [0.410, 0.820, 0.304], [0.000, 0.000, 0.000]]}